# 1
# PBE La4NCl2, optimized geometry
data_La4NCl2
_chemical_formula_sum 'La8 N2 Cl4'
_space_group_name_H-M_alt 'I 4/m m m'
_space_group_IT_number 139
_space_group_name_Hall '-I 4 2'
_cell_length_a 5.251
_cell_length_b 5.251
_cell_length_c 13.807
_cell_angle_alpha 90.00
_cell_angle_beta 90.00
_cell_angle_gamma 90.00
loop_
_atom_site_label
_atom_site_type_symbol
_atom_site_fract_x
_atom_site_fract_y
_atom_site_fract_z
_atom_site_occupancy
La1 La 0.000 0.000 0.177 1
La2 La 0.000 0.500 0.000 1
N1 N 0.000 0.000 0.000 1
Cl1 Cl 0.000 0.000 0.390 1
# raw formation energy = -1.06 eV per atom



# 2
# PBE Hf3SnBi, optimized geometry
data_Hf3SnBi
_chemical_formula_sum 'Hf3 Sn1 Bi1'
_space_group_name_H-M_alt 'P m -3 m'
_space_group_IT_number 221
_space_group_name_Hall '-P 4 2 3'
_cell_length_a 5.339
_cell_length_b 5.339
_cell_length_c 5.339
_cell_angle_alpha 90.00
_cell_angle_beta 90.00
_cell_angle_gamma 90.00
loop_
_atom_site_label
_atom_site_type_symbol
_atom_site_fract_x
_atom_site_fract_y
_atom_site_fract_z
_atom_site_occupancy
Hf1 Hf 0.000 0.000 0.500 1
Sn1 Sn 0.500 0.500 0.500 1
Bi1 Bi 0.000 0.000 0.000 1
# energy above the lowest structure with this stoichiometry = 1365 meV per atom
# energy of formation = 1.209 eV/atom



# 3
# PBE CsU4Ir3S12, optimized geometry
data_CsU4Ir3S12
_chemical_formula_sum 'Cs2 U8 Ir6 S24'
_space_group_name_H-M_alt 'I m -3'
_space_group_IT_number 204
_space_group_name_Hall '-I 2 2 3'
_cell_length_a 9.734
_cell_length_b 9.734
_cell_length_c 9.734
_cell_angle_alpha 90.00
_cell_angle_beta 90.00
_cell_angle_gamma 90.00
loop_
_atom_site_label
_atom_site_type_symbol
_atom_site_fract_x
_atom_site_fract_y
_atom_site_fract_z
_atom_site_occupancy
Cs1 Cs 0.000 0.000 0.000 1
U1 U 0.250 0.250 0.250 1
Ir1 Ir 0.000 0.000 0.500 1
S1 S 0.000 0.164 0.325 1
# raw formation energy = -0.78 eV per atom



# 4
# PBE AgHgO2F, optimized geometry
data_AgHgO2F
_chemical_formula_sum 'Ag1 Hg1 O2 F1'
_space_group_name_H-M_alt 'P 4/m m m'
_space_group_IT_number 123
_space_group_name_Hall '-P 4 2'
_cell_length_a 4.175
_cell_length_b 4.175
_cell_length_c 4.592
_cell_angle_alpha 90.00
_cell_angle_beta 90.00
_cell_angle_gamma 90.00
loop_
_atom_site_label
_atom_site_type_symbol
_atom_site_fract_x
_atom_site_fract_y
_atom_site_fract_z
_atom_site_occupancy
Ag1 Ag 0.000 0.000 0.000 1
Hg1 Hg 0.500 0.500 0.500 1
O1 O 0.000 0.500 0.500 1
F1 F 0.500 0.500 0.000 1
# raw formation energy = 0.08 eV per atom